Crystalline Tb6PrMg2 at its relaxed geometry, computed with PBE.

Structure (CIF):
```
data_Tb6PrMg2
_cell_length_a 4.898
_cell_length_b 4.898
_cell_length_c 12.078
_cell_angle_alpha 90.00
_cell_angle_beta 90.00
_cell_angle_gamma 90.00
_space_group_name_H-M_alt 'P 1'
_space_group_IT_number 1
_space_group_name_Hall 'P 1'
loop_
_atom_site_label
_atom_site_type_symbol
_atom_site_fract_x
_atom_site_fract_y
_atom_site_fract_z
Tb1 Tb 0.000 0.000 0.000
Tb2 Tb 0.000 0.500 0.212
Tb3 Tb 0.000 0.500 0.788
Tb4 Tb 0.500 0.000 0.212
Tb5 Tb 0.500 0.000 0.788
Tb6 Tb 0.500 0.500 0.000
Pr1 Pr 0.000 0.000 0.500
Mg1 Mg 0.500 0.500 0.386
Mg2 Mg 0.500 0.500 0.614
```

Computed properties:
The magnetization is 0.69 μB per formula unit. The space group is P4/mmm (123).

=====

Crystalline Tb2PrMg2 at its relaxed geometry, computed with PBE.

Structure (CIF):
```
data_Tb2PrMg2
_cell_length_a 17.098
_cell_length_b 17.098
_cell_length_c 17.098
_cell_angle_alpha 165.39
_cell_angle_beta 165.39
_cell_angle_gamma 20.72
_space_group_name_H-M_alt 'P 1'
_space_group_IT_number 1
_space_group_name_Hall 'P 1'
loop_
_atom_site_label
_atom_site_type_symbol
_atom_site_fract_x
_atom_site_fract_y
_atom_site_fract_z
Tb1 Tb 0.075 0.075 0.000
Tb2 Tb 0.250 0.750 0.500
Tb3 Tb 0.750 0.250 0.500
Tb4 Tb 0.925 0.925 0.000
Pr1 Pr 0.371 0.371 0.000
Pr2 Pr 0.629 0.629 0.000
Mg1 Mg 0.000 0.500 0.500
Mg2 Mg 0.175 0.175 0.000
Mg3 Mg 0.500 0.000 0.500
Mg4 Mg 0.825 0.825 0.000
```

Computed properties:
For the energy above the lowest structure with this stoichiometry, the calculation gives 1.564 eV/f.u. The magnetization is 0.00 μB per formula unit. The space group is I4/mmm (139).

=====

Across the entries above, VASP energy takes the values -3.8395; -3.2048 eV per atom, respectively.